1.
A plane-wave DFT calculation with PBE was carried out for an optimized crystal structure of CaCeDy2.

Computed properties:
Magnetic moment ... 8.1 μB per cell
E_form ... 244 meV per atom
Raw total energy ... -4.041 eV/atom
Energy above the most stable polymorph in this dataset ... 156 meV/atom

a = 8.1351 Å, b = 8.1351 Å, c = 8.1351 Å
α = 90.00°, β = 90.00°, γ = 90.00°
Last column: nearest neighbours and their distance in Å.
Space group Fm-3m (No. 225)
Inequivalent atoms, fractional coordinates:
1 Ca 0.0000 0.0000 0.0000 (multiplicity 4)  8 Dy 3.52
2 Ce 0.0000 0.0000 0.5000 (multiplicity 4)  8 Dy 3.52
3 Dy 0.2500 0.2500 0.2500 (multiplicity 8)  4 Ce 3.52, 4 Ca 3.52


2.
A plane-wave DFT calculation with PBE was carried out for an optimized crystal structure of Ca2CeDy.

Computed properties:
Magnetic moment ... 5.4 μB per cell
E_form ... 314 meV per atom
Raw total energy ... -3.321 eV/atom

a = 3.5328 Å, b = 3.5328 Å, c = 39.4034 Å
α = 90.00°, β = 90.00°, γ = 120.00°
Last column: nearest neighbours and their distance in Å.
Space group R-3m (No. 166, hexagonal axes)
Inequivalent atoms, fractional coordinates:
1 Ca 0.0000 0.0000 0.0872 (multiplicity 6)  1 Dy 3.44, 6 Ca 3.53, 3 Ce 3.74
2 Ce 0.0000 0.0000 0.5000 (multiplicity 3)  6 Ce 3.53, 6 Ca 3.74
3 Dy 0.0000 0.0000 0.0000 (multiplicity 3)  2 Ca 3.44, 6 Dy 3.53


3.
A plane-wave DFT calculation with PBE was carried out for an optimized crystal structure of CaCeDyEr.

Computed properties:
Magnetic moment ... 7.9 μB per cell
E_form ... 242 meV per atom
Raw total energy ... -4.033 eV/atom

a = 8.1126 Å, b = 8.1126 Å, c = 8.1126 Å
α = 90.00°, β = 90.00°, γ = 90.00°
Last column: nearest neighbours and their distance in Å.
Space group F-43m (No. 216)
Inequivalent atoms, fractional coordinates:
1 Ca 0.0000 0.0000 0.0000 (multiplicity 4)  4 Er 3.51, 4 Dy 3.51
2 Ce 0.0000 0.0000 0.5000 (multiplicity 4)  4 Dy 3.51, 4 Er 3.51
3 Dy 0.2500 0.2500 0.2500 (multiplicity 4)  4 Ce 3.51, 4 Ca 3.51
4 Er 0.2500 0.2500 0.7500 (multiplicity 4)  4 Ce 3.51, 4 Ca 3.51


What are the N(E_F) values for these records? In order: 39.64 30.28 37.70 states/eV/cell.